Compound: PmNd2Pa
Source: Alexandria via LeMat-Bulk
Functional: PBE
Structure: relaxed

Its formation enthalpy at 0 K is 1.3 eV/f.u.

The space group is R-3m (No. 166, hexagonal axes) and the conventional cell measures 3.3986, 3.3986 and 37.7771 Å, with angles of 90.00, 90.00 and 120.00 degrees. The distinct sites, in fractional coordinates, are Pm at (0.0000, 0.0000, 0.0000), Nd at (0.0000, 0.0000, 0.4144) and Pa at (0.0000, 0.0000, 0.5000).

Compound: MgBi
Source: Alexandria via LeMat-Bulk
Functional: PBE
Structure: relaxed

Its formation enthalpy at 0 K is -0.2 eV/f.u.

The space group is C2 (No. 5) and the conventional cell measures 10.047, 7.577 and 4.640 Å, with angles of 90.00, 90.08 and 90.00 degrees. The distinct sites, in fractional coordinates, are Mg at (0.000, 0.000, 0.000), Mg at (0.228, 0.077, 0.500), Bi at (0.000, 0.771, 0.500) and Bi at (0.152, 0.342, 0.000).

Compound: K3Mg3Cd8
Source: Alexandria via LeMat-Bulk
Functional: PBE
Structure: relaxed

Its formation enthalpy at 0 K is -0.9 eV/f.u.

The space group is Immm (No. 71) and the conventional cell measures 5.105, 10.513 and 14.933 Å, with angles of 90.00, 90.00 and 90.00 degrees. The distinct sites, in fractional coordinates, are K at (0.000, 0.000, 0.000), K at (0.000, 0.000, 0.293), Mg at (0.000, 0.184, 0.500), Mg at (0.000, 0.500, 0.000), Cd at (0.000, 0.287, 0.129) and Cd at (0.000, 0.352, 0.332).

Compound: GaSi2Au
Source: Alexandria via LeMat-Bulk
Functional: PBE
Structure: relaxed

As for the formation energy from raw total energies: 0.29 eV per atom.

The space group is I-42d (No. 122) and the conventional cell measures 5.833, 5.833 and 10.509 Å, with angles of 90.00, 90.00 and 90.00 degrees. The distinct sites, in fractional coordinates, are Ga at (0.000, 0.000, 0.000), Si at (0.247, 0.250, 0.625) and Au at (0.000, 0.000, 0.500).

Compound: PaPtN
Source: Alexandria via LeMat-Bulk
Functional: PBE
Structure: relaxed

As for the formation energy from raw total energies: -0.96 eV per atom. The value obtained for the energy above the most stable polymorph in this dataset is 317.8 meV per atom.

The space group is Fddd (No. 70, origin choice 2) and the conventional cell measures 7.240, 10.102 and 11.948 Å, with angles of 90.00, 90.00 and 90.00 degrees. The distinct sites, in fractional coordinates, are Pa at (0.125, 0.295, 0.125), Pt at (0.000, 0.000, 0.500) and N at (0.125, 0.125, 0.009).

Compound: RbCd2W
Source: Alexandria via LeMat-Bulk
Functional: PBE
Structure: relaxed

The value obtained for the energy above the most stable polymorph in this dataset is 12.2 meV per atom. Its formation enthalpy at 0 K is 5.1 eV/f.u.

The space group is Fm-3m (No. 225) and the conventional cell measures 7.478, 7.478 and 7.478 Å, with angles of 90.00, 90.00 and 90.00 degrees. The distinct sites, in fractional coordinates, are Rb at (0.000, 0.000, 0.000), Cd at (0.250, 0.250, 0.250) and W at (0.000, 0.000, 0.500).

Compound: Tl3HgRh
Source: Alexandria via LeMat-Bulk
Functional: PBE
Structure: relaxed

The value obtained for the energy above the most stable polymorph in this dataset is 353.1 meV per atom. Its formation enthalpy at 0 K is 1.7 eV/f.u.

The space group is P4mm (No. 99) and the conventional cell measures 4.300, 4.300 and 8.259 Å, with angles of 90.00, 90.00 and 90.00 degrees. The distinct sites, in fractional coordinates, are Tl at (0.000, 0.000, 0.000), Tl at (0.000, 0.500, 0.665), Hg at (0.000, 0.000, 0.357) and Rh at (0.500, 0.500, 0.899).

Compound: La2Pr2DyY
Source: Alexandria via LeMat-Bulk
Functional: PBE
Structure: relaxed

Its formation enthalpy at 0 K is 0.3 eV/f.u.

The space group is Pmma (No. 51) and the conventional cell measures 7.174, 5.792 and 10.048 Å, with angles of 90.00, 90.00 and 90.00 degrees. The distinct sites, in fractional coordinates, are La at (0.000, 0.000, 0.000), La at (0.250, 0.500, 0.175), Pr at (0.250, 0.000, 0.331), Pr at (0.250, 0.500, 0.836), Dy at (0.250, 0.000, 0.657) and Y at (0.000, 0.500, 0.500).

| no. | magnetization (μB/atom) | VASP energy (eV/atom) |
| --- | --- | --- |
| 1 | 0.00 | -5.62 |
| 2 | 0.00 | -2.84 |
| 3 | 0.00 | -1.16 |
| 4 | 0.00 | -3.99 |
| 5 | 0.00 | -8.92 |
| 6 | 0.73 | -2.67 |
| 7 | 0.00 | -2.62 |
| 8 | 0.00 | -5.03 |